No. 1
# Cs2NaMgSc

A relaxed Cs2NaMgSc crystal (PBE, the Alexandria database).

Cell: 7.404 7.404 6.400 Å, 90.00 90.00 90.00°
Fractional positions:
Cs1 0.000 0.500 0.000
Cs2 0.500 0.000 0.000
Na1 0.000 0.000 0.500
Mg1 0.500 0.500 0.500
Sc1 0.000 0.000 0.000

Output
* calculated total energy: -1.343 eV/atom
* ΔE_f: 19.541 kcal/mol of atoms
* space group: P4/mmm

No. 2
# KPF6

A relaxed KPF6 crystal (PBE, the Alexandria database).

Cell: 5.703 5.703 5.703 Å, 55.39 55.39 55.39°
Fractional positions:
K1 0.000 0.000 0.000
P1 0.500 0.500 0.500
F1 0.143 0.580 0.580
F2 0.420 0.420 0.857
F3 0.420 0.857 0.420
F4 0.580 0.143 0.580
F5 0.580 0.580 0.143
F6 0.857 0.420 0.420

Output
* calculated total energy: -4.986 eV/atom
* space group: R-3m

No. 3
# CePuPa

A relaxed CePuPa crystal (PBE, the Alexandria database).

Cell: 3.980 3.980 11.496 Å, 90.00 90.00 120.00°
Fractional positions:
Ce1 0.000 0.000 0.132
Ce2 0.000 0.000 0.868
Pu1 0.333 0.667 0.594
Pu2 0.667 0.333 0.406
Pa1 0.333 0.667 0.301
Pa2 0.667 0.333 0.699

Output
* calculated total energy: -9.354 eV/atom
* ΔE_f: 13.073 kcal/mol of atoms
* space group: P-3m1

No. 4
# Sr2GaHPd6

A relaxed Sr2GaHPd6 crystal (PBE, the Alexandria database).

Cell: 5.908 5.908 6.889 Å, 115.77 115.77 60.01°
Fractional positions:
Sr1 0.224 0.224 0.175
Sr2 0.776 0.776 0.825
Ga1 0.500 0.500 0.000
H1 0.000 0.000 0.500
Pd1 0.230 0.230 0.683
Pd2 0.231 0.724 0.684
Pd3 0.276 0.769 0.316
Pd4 0.724 0.231 0.684
Pd5 0.769 0.276 0.316
Pd6 0.770 0.770 0.317

Output
* calculated total energy: -4.665 eV/atom
* space group: C2/m

No. 5
# PmDy2Y5Th

A relaxed PmDy2Y5Th crystal (PBE, the Alexandria database).

Cell: 11.083 11.083 9.739 Å, 90.00 90.00 149.87°
Fractional positions:
Pm1 0.097 0.903 0.500
Pm2 0.903 0.097 0.000
Dy1 0.368 0.632 0.784
Dy2 0.388 0.612 0.397
Dy3 0.612 0.388 0.897
Dy4 0.632 0.368 0.284
Y1 0.028 0.972 0.819
Y2 0.110 0.890 0.113
Y3 0.195 0.805 0.787
Y4 0.234 0.766 0.412
Y5 0.487 0.513 0.089
Y6 0.513 0.487 0.589
Y7 0.766 0.234 0.912
Y8 0.805 0.195 0.287
Y9 0.890 0.110 0.613
Y10 0.972 0.028 0.319
Th1 0.311 0.689 0.098
Th2 0.689 0.311 0.598

Output
* calculated total energy: -5.807 eV/atom
* ΔE_f: 3.673 kcal/mol of atoms
* space group: Cmc2_1

No. 6
# Mn3Be8Nb

A relaxed Mn3Be8Nb crystal (PBE, the Alexandria database).

Cell: 4.274 4.274 7.032 Å, 90.00 90.00 120.00°
Fractional positions:
Mn1 0.000 0.000 0.000
Mn2 0.000 0.000 0.366
Mn3 0.333 0.667 0.874
Be1 0.005 0.502 0.176
Be2 0.328 0.164 0.698
Be3 0.498 0.502 0.176
Be4 0.498 0.995 0.176
Be5 0.667 0.333 0.428
Be6 0.667 0.333 0.938
Be7 0.836 0.164 0.698
Be8 0.836 0.672 0.698
Nb1 0.333 0.667 0.496

Output
* calculated total energy: -5.871 eV/atom
* ΔE_f: -5.886 kcal/mol of atoms
* space group: P3m1

Number 1: density 1.695 g/cm³. Number 2: density 2.610 g/cm³. Number 3: density 12.952 g/cm³. Number 4: density 8.156 g/cm³. Number 5: density 6.341 g/cm³. Number 6: density 4.922 g/cm³.